# SCAN ReTcP2, single point on PBEsol structure
data_ReTcP2
_chemical_formula_sum 'Re3 Tc3 P6'
_symmetry_space_group_name_H-M 'R -3 m'
_symmetry_Int_Tables_number 166
_symmetry_space_group_name_Hall '-R 3 2"'
_cell_length_a 2.8760
_cell_length_b 2.8760
_cell_length_c 22.0251
_cell_angle_alpha 90.00
_cell_angle_beta 90.00
_cell_angle_gamma 120.00
loop_
_atom_site_label
_atom_site_fract_x
_atom_site_fract_y
_atom_site_fract_z
_atom_site_occupancy
Re1 0.0000 0.0000 0.0000 1
Tc1 0.0000 0.0000 0.5000 1
P1 0.0000 0.0000 0.2492 1
# Energy, eV per atom: -31.78
# Formation energy from the elements, kJ per mole of atoms: -4.14
# M_tot, μB/f.u.: 0.0